1.
Material: Sc2BeCr
Method: DFT, PBE
State: relaxed

## Properties
Crystal system: cubic
E_tot in hartree per atom: -0.2285
Energy of formation in eV per atom: 0.286

Structure (CIF):
```
data_Sc2BeCr
_space_group_name_H-M_alt 'F -4 3 m'
_space_group_IT_number 216
_space_group_name_Hall 'F -4 2 3'
_cell_length_a 6.4815
_cell_length_b 6.4815
_cell_length_c 6.4815
_cell_angle_alpha 90.00
_cell_angle_beta 90.00
_cell_angle_gamma 90.00
loop_
_atom_site_label
_atom_site_fract_x
_atom_site_fract_y
_atom_site_fract_z
Sc1 0.0000 0.0000 0.0000
Sc2 0.2500 0.2500 0.2500
Be1 0.2500 0.2500 0.7500
Cr1 0.0000 0.0000 0.5000
```

***

2.
Material: ScBeCr2
Method: DFT, PBE
State: relaxed

## Properties
Crystal system: trigonal
E_tot in hartree per atom: -0.2472
Energy of formation in eV per atom: 0.601

Structure (CIF):
```
data_ScBeCr2
_space_group_name_H-M_alt 'R -3 m'
_space_group_IT_number 166
_space_group_name_Hall '-R 3 2"'
_cell_length_a 2.7021
_cell_length_b 2.7021
_cell_length_c 25.2220
_cell_angle_alpha 90.00
_cell_angle_beta 90.00
_cell_angle_gamma 120.00
loop_
_atom_site_label
_atom_site_fract_x
_atom_site_fract_y
_atom_site_fract_z
Sc1 0.0000 0.0000 0.0000
Be1 0.0000 0.0000 0.5000
Cr1 0.0000 0.0000 0.2402
```

***

3.
Material: ScBeCr
Method: DFT, PBE
State: relaxed

## Properties
Crystal system: trigonal
E_tot in hartree per atom: -0.2364
Energy of formation in eV per atom: 0.127
Energy above the lowest structure with this stoichiometry in meV/atom: 70.4

Structure (CIF):
```
data_ScBeCr
_space_group_name_H-M_alt 'P 3 m 1'
_space_group_IT_number 156
_cell_length_a 4.2499
_cell_length_b 4.2499
_cell_length_c 5.5800
_cell_angle_alpha 90.00
_cell_angle_beta 90.00
_cell_angle_gamma 120.00
loop_
_space_group_symop_operation_xyz
'x,y,z'
'-y,x-y,z'
'-x+y,-x,z'
'-y,-x,z'
'-x+y,y,z'
'x,x-y,z'
loop_
_atom_site_label
_atom_site_fract_x
_atom_site_fract_y
_atom_site_fract_z
Sc1 0.0000 0.0000 0.0000
Sc2 0.3333 0.6667 0.6769
Be1 0.0000 0.0000 0.4502
Be2 0.6667 0.3333 0.9552
Cr1 0.3333 0.6667 0.2194
Cr2 0.6667 0.3333 0.3846
```

***

4.
Material: Sc3BeCr
Method: DFT, PBE
State: relaxed

## Properties
Crystal system: cubic
E_tot in hartree per atom: -0.2174
Energy of formation in eV per atom: 0.554
Energy above the lowest structure with this stoichiometry in meV/atom: 0.0

Structure (CIF):
```
data_Sc3BeCr
_space_group_name_H-M_alt 'P m -3 m'
_space_group_IT_number 221
_space_group_name_Hall '-P 4 2 3'
_cell_length_a 4.8159
_cell_length_b 4.8159
_cell_length_c 4.8159
_cell_angle_alpha 90.00
_cell_angle_beta 90.00
_cell_angle_gamma 90.00
loop_
_atom_site_label
_atom_site_fract_x
_atom_site_fract_y
_atom_site_fract_z
Sc1 0.0000 0.0000 0.5000
Be1 0.0000 0.0000 0.0000
Cr1 0.5000 0.5000 0.5000
```

***

5.
Material: ScBeCr2
Method: DFT, PBE
State: relaxed

## Properties
Crystal system: monoclinic
E_tot in hartree per atom: -0.2582
Energy of formation in eV per atom: 0.300

Structure (CIF):
```
data_ScBeCr2
_space_group_name_H-M_alt 'C 1 2/m 1'
_space_group_IT_number 12
_cell_length_a 8.4360
_cell_length_b 3.0640
_cell_length_c 4.6043
_cell_angle_alpha 90.00
_cell_angle_beta 108.29
_cell_angle_gamma 90.00
loop_
_space_group_symop_operation_xyz
'x,y,z'
'-x,-y,-z'
'-x,y,-z'
'x,-y,z'
'x+1/2,y+1/2,z'
'-x+1/2,-y+1/2,-z'
'-x+1/2,y+1/2,-z'
'x+1/2,-y+1/2,z'
loop_
_atom_site_label
_atom_site_fract_x
_atom_site_fract_y
_atom_site_fract_z
Sc1 0.0000 0.0000 0.0000
Be1 0.0000 0.5000 0.5000
Cr1 0.2175 0.0000 0.6416
```

***

6.
Material: Sc2BeCr
Method: DFT, PBE
State: relaxed

## Properties
Crystal system: trigonal
E_tot in hartree per atom: -0.2231
Energy of formation in eV per atom: 0.431

Structure (CIF):
```
data_Sc2BeCr
_space_group_name_H-M_alt 'R -3 m'
_space_group_IT_number 166
_space_group_name_Hall '-R 3 2"'
_cell_length_a 3.1406
_cell_length_b 3.1406
_cell_length_c 25.3433
_cell_angle_alpha 90.00
_cell_angle_beta 90.00
_cell_angle_gamma 120.00
loop_
_atom_site_label
_atom_site_fract_x
_atom_site_fract_y
_atom_site_fract_z
Sc1 0.0000 0.0000 0.2462
Be1 0.0000 0.0000 0.5000
Cr1 0.0000 0.0000 0.0000
```

***

7.
Material: ScBeCr2
Method: DFT, PBE
State: relaxed

## Properties
Crystal system: orthorhombic
E_tot in hartree per atom: -0.2504
Energy of formation in eV per atom: 0.513

Structure (CIF):
```
data_ScBeCr2
_space_group_name_H-M_alt 'C m m m'
_space_group_IT_number 65
_space_group_name_Hall '-C 2 2'
_cell_length_a 5.0664
_cell_length_b 8.4102
_cell_length_c 2.4835
_cell_angle_alpha 90.00
_cell_angle_beta 90.00
_cell_angle_gamma 90.00
loop_
_atom_site_label
_atom_site_fract_x
_atom_site_fract_y
_atom_site_fract_z
Sc1 0.0000 0.0000 0.0000
Be1 0.0000 0.5000 0.0000
Cr1 0.2500 0.2500 0.5000
```

***

8.
Material: Sc2BeCr
Method: DFT, PBE
State: relaxed

## Properties
Crystal system: tetragonal
E_tot in hartree per atom: -0.2338
Energy of formation in eV per atom: 0.142

Structure (CIF):
```
data_Sc2BeCr
_space_group_name_H-M_alt 'P 4 m m'
_space_group_IT_number 99
_cell_length_a 3.1089
_cell_length_b 3.1089
_cell_length_c 7.1200
_cell_angle_alpha 90.00
_cell_angle_beta 90.00
_cell_angle_gamma 90.00
loop_
_space_group_symop_operation_xyz
'x,y,z'
'-y,x,z'
'-x,-y,z'
'y,-x,z'
'-x,y,z'
'y,x,z'
'x,-y,z'
'-y,-x,z'
loop_
_atom_site_label
_atom_site_fract_x
_atom_site_fract_y
_atom_site_fract_z
Sc1 0.0000 0.0000 0.0000
Sc2 0.5000 0.5000 0.3718
Be1 0.0000 0.0000 0.6111
Cr1 0.5000 0.5000 0.7435
```

***

9.
Material: ScBe4Cr
Method: DFT, PBE
State: relaxed

## Properties
Crystal system: cubic
E_tot in hartree per atom: -0.1934
Energy of formation in eV per atom: -0.118

Structure (CIF):
```
data_ScBe4Cr
_space_group_name_H-M_alt 'F -4 3 m'
_space_group_IT_number 216
_space_group_name_Hall 'F -4 2 3'
_cell_length_a 6.4358
_cell_length_b 6.4358
_cell_length_c 6.4358
_cell_angle_alpha 90.00
_cell_angle_beta 90.00
_cell_angle_gamma 90.00
loop_
_atom_site_label
_atom_site_fract_x
_atom_site_fract_y
_atom_site_fract_z
Sc1 0.0000 0.0000 0.0000
Be1 0.1236 0.1236 0.3764
Cr1 0.2500 0.2500 0.7500
```

***

10.
Material: ScBeCr
Method: DFT, PBE
State: relaxed

## Properties
Crystal system: trigonal
E_tot in hartree per atom: -0.2218
Energy of formation in eV per atom: 0.526
Energy above the lowest structure with this stoichiometry in meV/atom: 469.5

Structure (CIF):
```
data_ScBeCr
_space_group_name_H-M_alt 'P 3 m 1'
_space_group_IT_number 156
_cell_length_a 2.9997
_cell_length_b 2.9997
_cell_length_c 5.8339
_cell_angle_alpha 90.00
_cell_angle_beta 90.00
_cell_angle_gamma 120.00
loop_
_space_group_symop_operation_xyz
'x,y,z'
'-y,x-y,z'
'-x+y,-x,z'
'-y,-x,z'
'-x+y,y,z'
'x,x-y,z'
loop_
_atom_site_label
_atom_site_fract_x
_atom_site_fract_y
_atom_site_fract_z
Sc1 0.0000 0.0000 0.0000
Be1 0.6667 0.3333 0.3613
Cr1 0.3333 0.6667 0.6295
```

***

11.
Material: ScBeCr2
Method: DFT, PBE
State: relaxed

## Properties
Crystal system: orthorhombic
E_tot in hartree per atom: -0.2565
Energy of formation in eV per atom: 0.348

Structure (CIF):
```
data_ScBeCr2
_space_group_name_H-M_alt 'I m m m'
_space_group_IT_number 71
_space_group_name_Hall '-I 2 2'
_cell_length_a 3.1412
_cell_length_b 3.9660
_cell_length_c 8.5135
_cell_angle_alpha 90.00
_cell_angle_beta 90.00
_cell_angle_gamma 90.00
loop_
_atom_site_label
_atom_site_fract_x
_atom_site_fract_y
_atom_site_fract_z
Sc1 0.0000 0.0000 0.0000
Be1 0.0000 0.0000 0.5000
Cr1 0.0000 0.5000 0.2388
```

***

12.
Material: ScBeCr
Method: DFT, PBE
State: relaxed

## Properties
Crystal system: orthorhombic
E_tot in hartree per atom: -0.2371
Energy of formation in eV per atom: 0.109
Energy above the lowest structure with this stoichiometry in meV/atom: 52.4

Structure (CIF):
```
data_ScBeCr
_space_group_name_H-M_alt 'A m a 2'
_space_group_IT_number 40
_cell_length_a 3.9564
_cell_length_b 4.6096
_cell_length_c 9.4900
_cell_angle_alpha 90.00
_cell_angle_beta 90.00
_cell_angle_gamma 90.00
loop_
_space_group_symop_operation_xyz
'x,y,z'
'-x,-y,z'
'-x+1/2,y,z'
'x+1/2,-y,z'
'x,y+1/2,z+1/2'
'-x,-y+1/2,z+1/2'
'-x+1/2,y+1/2,z+1/2'
'x+1/2,-y+1/2,z+1/2'
loop_
_atom_site_label
_atom_site_fract_x
_atom_site_fract_y
_atom_site_fract_z
Sc1 0.2500 0.2369 0.0000
Be1 0.2500 0.1325 0.2878
Cr1 0.2500 0.1359 0.7080
```

***

13.
Material: ScBeCr
Method: DFT, PBE
State: relaxed

## Properties
Crystal system: tetragonal
E_tot in hartree per atom: -0.2338
Energy of formation in eV per atom: 0.199
Energy above the lowest structure with this stoichiometry in meV/atom: 142.3

Structure (CIF):
```
data_ScBeCr
_space_group_name_H-M_alt 'I 4 m m'
_space_group_IT_number 107
_space_group_name_Hall 'I 4 -2'
_cell_length_a 3.0764
_cell_length_b 3.0764
_cell_length_c 9.4351
_cell_angle_alpha 90.00
_cell_angle_beta 90.00
_cell_angle_gamma 90.00
loop_
_atom_site_label
_atom_site_fract_x
_atom_site_fract_y
_atom_site_fract_z
Sc1 0.0000 0.0000 0.0000
Be1 0.0000 0.0000 0.3100
Cr1 0.0000 0.0000 0.7024
```

***

14.
Material: Sc2BeCr
Method: DFT, PBE
State: relaxed

## Properties
Crystal system: tetragonal
E_tot in hartree per atom: -0.2077
Energy of formation in eV per atom: 0.852

Structure (CIF):
```
data_Sc2BeCr
_space_group_name_H-M_alt 'I -4 2 d'
_space_group_IT_number 122
_space_group_name_Hall 'I -4 2bw'
_cell_length_a 3.8334
_cell_length_b 3.8334
_cell_length_c 18.3728
_cell_angle_alpha 90.00
_cell_angle_beta 90.00
_cell_angle_gamma 90.00
loop_
_atom_site_label
_atom_site_fract_x
_atom_site_fract_y
_atom_site_fract_z
Sc1 0.2476 0.2500 0.1250
Be1 0.0000 0.0000 0.5000
Cr1 0.0000 0.0000 0.0000
```